Here is crystalline Al2BIr5 at its relaxed geometry from Alexandria via LeMat-Bulk. Energies are from PBE. Values from VASP.

Quantum ESPRESSO input file:
```
&SYSTEM
  ibrav = 0, nat = 16, ntyp = 3
/
ATOMIC_SPECIES
Al 26.98 Al.upf
B 10.81 B.upf
Ir 192.22 Ir.upf
CELL_PARAMETERS angstrom
5.335 0.000 0.000
0.000 9.801 0.000
0.000 0.000 4.034
ATOMIC_POSITIONS angstrom
Al 0.703 1.361 0.000
Al 1.964 6.261 0.000
Al 3.371 3.540 0.000
Al 4.631 8.440 0.000
B 0.000 4.900 2.017
B 2.667 0.000 2.017
Ir 0.000 0.000 2.017
Ir 0.676 7.046 2.017
Ir 0.866 3.883 0.000
Ir 1.801 8.783 0.000
Ir 1.991 2.146 2.017
Ir 2.667 4.900 2.017
Ir 3.343 7.655 2.017
Ir 3.533 1.018 0.000
Ir 4.469 5.918 0.000
Ir 4.659 2.755 2.017
```

Here is crystalline AlBIr at its relaxed geometry from Alexandria via LeMat-Bulk. Energies are from PBE. Values from VASP.

Quantum ESPRESSO input file:
```
&SYSTEM
  ibrav = 0, nat = 3, ntyp = 3
/
ATOMIC_SPECIES
Al 26.98 Al.upf
B 10.81 B.upf
Ir 192.22 Ir.upf
CELL_PARAMETERS angstrom
-1.468 1.468 4.141
1.468 -1.468 4.141
1.468 1.468 -4.141
ATOMIC_POSITIONS angstrom
Al 0.000 0.000 0.000
B 0.000 0.000 2.618
Ir 0.000 0.000 5.827
```

Here is crystalline AlB2Ir4 at its relaxed geometry from Alexandria via LeMat-Bulk. Energies are from PBE. Values from VASP.

Quantum ESPRESSO input file:
```
&SYSTEM
  ibrav = 0, nat = 14, ntyp = 3
/
ATOMIC_SPECIES
Al 26.98 Al.upf
B 10.81 B.upf
Ir 192.22 Ir.upf
CELL_PARAMETERS angstrom
5.343 0.000 0.000
-1.535 5.289 0.000
-1.813 -2.351 6.211
ATOMIC_POSITIONS angstrom
Al 0.000 0.000 0.000
Al -0.683 2.872 3.006
B -1.105 0.664 3.731
B 1.725 1.527 0.768
B 0.695 4.227 1.797
B 1.524 0.541 5.543
Ir -0.077 2.704 0.565
Ir -0.108 -0.848 4.888
Ir 0.715 0.412 2.403
Ir -0.250 1.948 5.296
Ir 2.575 -0.821 4.072
Ir 2.678 3.313 1.451
Ir 3.418 0.644 1.682
Ir 2.407 1.912 3.999
```

Here is crystalline LaAlBIr2 at its relaxed geometry from Alexandria via LeMat-Bulk. Energies are from PBE. Values from VASP.

Quantum ESPRESSO input file:
```
&SYSTEM
  ibrav = 0, nat = 10, ntyp = 4
/
ATOMIC_SPECIES
La 138.91 La.upf
Al 26.98 Al.upf
B 10.81 B.upf
Ir 192.22 Ir.upf
CELL_PARAMETERS angstrom
2.091 -5.713 0.000
2.091 5.713 0.000
0.000 0.000 7.334
ATOMIC_POSITIONS angstrom
La 2.091 5.052 5.501
La 2.091 -5.052 1.834
Al 2.091 3.147 1.834
Al 2.091 -3.147 5.501
B 2.091 0.000 0.000
B 2.091 0.000 3.667
Ir 2.091 1.898 4.109
Ir 2.091 1.898 6.892
Ir 2.091 -1.898 0.442
Ir 2.091 -1.898 3.225
```

Here is crystalline LaAlB2Ir at its relaxed geometry from Alexandria via LeMat-Bulk. Energies are from PBE. Values from VASP.

Quantum ESPRESSO input file:
```
&SYSTEM
  ibrav = 0, nat = 5, ntyp = 4
/
ATOMIC_SPECIES
La 138.91 La.upf
Al 26.98 Al.upf
B 10.81 B.upf
Ir 192.22 Ir.upf
CELL_PARAMETERS angstrom
4.401 0.000 0.000
0.000 4.401 0.000
0.000 0.000 5.403
ATOMIC_POSITIONS angstrom
La 0.000 0.000 0.000
Al 0.000 0.000 2.702
B 0.000 2.201 0.000
B 2.201 0.000 0.000
Ir 2.201 2.201 2.702
```

Here is crystalline Li2AlB2Ir5 at its relaxed geometry from Alexandria via LeMat-Bulk. Energies are from PBE. Values from VASP.

Quantum ESPRESSO input file:
```
&SYSTEM
  ibrav = 0, nat = 20, ntyp = 4
/
ATOMIC_SPECIES
Li 6.94 Li.upf
Al 26.98 Al.upf
B 10.81 B.upf
Ir 192.22 Ir.upf
CELL_PARAMETERS angstrom
9.393 0.000 0.000
0.000 9.393 0.000
0.000 0.000 2.882
ATOMIC_POSITIONS angstrom
Li 1.638 3.059 0.000
Li 3.059 7.755 0.000
Li 6.334 1.638 0.000
Li 7.755 6.334 0.000
Al 0.000 0.000 0.000
Al 4.697 4.697 0.000
B 1.188 5.885 0.000
B 3.508 1.188 0.000
B 5.885 8.205 0.000
B 8.205 3.508 0.000
Ir 0.000 4.697 1.441
Ir 0.687 7.400 1.441
Ir 1.994 0.687 1.441
Ir 2.703 5.383 1.441
Ir 4.010 2.703 1.441
Ir 4.697 0.000 1.441
Ir 5.383 6.690 1.441
Ir 6.690 4.010 1.441
Ir 7.400 8.706 1.441
Ir 8.706 1.994 1.441
```

Here is crystalline LiAl2B2Ir5 at its relaxed geometry from Alexandria via LeMat-Bulk. Energies are from PBE. Values from VASP.

Quantum ESPRESSO input file:
```
&SYSTEM
  ibrav = 0, nat = 20, ntyp = 4
/
ATOMIC_SPECIES
Li 6.94 Li.upf
Al 26.98 Al.upf
B 10.81 B.upf
Ir 192.22 Ir.upf
CELL_PARAMETERS angstrom
9.213 0.000 0.000
0.000 9.213 0.000
0.000 0.000 2.910
ATOMIC_POSITIONS angstrom
Li 0.000 0.000 0.000
Li 4.606 4.606 0.000
Al 1.637 2.969 0.000
Al 2.969 7.576 0.000
Al 6.243 1.637 0.000
Al 7.576 6.243 0.000
B 1.217 5.823 0.000
B 3.389 1.217 0.000
B 5.823 7.996 0.000
B 7.996 3.389 0.000
Ir 0.000 4.606 1.455
Ir 0.701 7.309 1.455
Ir 1.904 0.701 1.455
Ir 2.702 5.307 1.455
Ir 3.905 2.702 1.455
Ir 4.606 0.000 1.455
Ir 5.307 6.510 1.455
Ir 6.510 3.905 1.455
Ir 7.309 8.511 1.455
Ir 8.511 1.904 1.455
```

Here is crystalline MgAl2B2Ir5 at its relaxed geometry from Alexandria via LeMat-Bulk. Energies are from PBE. Values from VASP.

Quantum ESPRESSO input file:
```
&SYSTEM
  ibrav = 0, nat = 20, ntyp = 4
/
ATOMIC_SPECIES
Mg 24.30 Mg.upf
Al 26.98 Al.upf
B 10.81 B.upf
Ir 192.22 Ir.upf
CELL_PARAMETERS angstrom
9.421 0.000 0.000
0.000 9.421 0.000
0.000 0.000 2.935
ATOMIC_POSITIONS angstrom
Mg 0.000 0.000 0.000
Mg 4.711 4.711 0.000
Al 1.688 3.022 0.000
Al 3.022 7.733 0.000
Al 6.399 1.688 0.000
Al 7.733 6.399 0.000
B 1.196 5.907 0.000
B 3.515 1.196 0.000
B 5.907 8.226 0.000
B 8.226 3.515 0.000
Ir 0.000 4.711 1.468
Ir 0.742 7.413 1.468
Ir 2.008 0.742 1.468
Ir 2.703 5.453 1.468
Ir 3.969 2.703 1.468
Ir 4.711 0.000 1.468
Ir 5.453 6.719 1.468
Ir 6.719 3.969 1.468
Ir 7.413 8.680 1.468
Ir 8.680 2.008 1.468
```

In order of appearance, V = 210.9; 35.7; 175.5; 175.2; 104.7; 254.3; 247.0; 260.5 Å³/cell.
In order of appearance, size of the total moment = 0.00; 0.00; 0.00; 0.00; 0.00; 0.00; 0.00; 0.00 μB per formula unit.
In order of appearance, raw total energy = -7.7303; -6.5794; -7.7342; -7.3563; -3.6988; -6.9522; -7.1632; -7.1179 eV per atom.